Computed, not measured: a relaxed structure of Li2FeNi3O8 at the PBE with a Hubbard U level of DFT.

The structure in CIF format:
```
data_Li2FeNi3O8
_symmetry_space_group_name_H-M 'C m c 21'
_symmetry_Int_Tables_number 36
_cell_length_a 5.667
_cell_length_b 10.044
_cell_length_c 9.325
_cell_angle_alpha 90.00
_cell_angle_beta 90.00
_cell_angle_gamma 90.00
loop_
_symmetry_equiv_pos_as_xyz
'x,y,z'
'-x,-y,z+1/2'
'-x,y,z'
'x,-y,z+1/2'
'x+1/2,y+1/2,z'
'-x+1/2,-y+1/2,z+1/2'
'-x+1/2,y+1/2,z'
'x+1/2,-y+1/2,z+1/2'
loop_
_atom_site_label
_atom_site_fract_x
_atom_site_fract_y
_atom_site_fract_z
Li1 0.000 0.004 0.000
Li2 0.000 0.334 0.889
Fe1 0.000 0.336 0.495
Ni1 0.000 0.170 0.218
Ni2 0.246 0.415 0.214
O1 0.000 0.013 0.812
O2 0.000 0.159 0.601
O3 0.000 0.345 0.105
O4 0.000 0.481 0.331
O5 0.225 0.264 0.334
O6 0.244 0.078 0.107
```

Spin magnetization (μB/cell): 24.000
E above lowest polymorph (eV per atom): 0.0169